## one
DFT (GGA-PBE) results for a relaxed structure of CaZrH3.

Values from the calculation:
* space group: Pm-3m
* crystal system: cubic

Structure (extended XYZ):
```
5
Lattice="3.991 0.000 0.000 0.000 3.991 0.000 0.000 0.000 3.991" Properties=species:S:1:pos:R:3 pbc="T T T"
Ca 0.000 0.000 0.000
Zr 1.996 1.996 1.996
H 0.000 1.996 1.996
H 1.996 0.000 1.996
H 1.996 1.996 0.000
```

## two
DFT (GGA-PBE) results for a relaxed structure of CaZrH3.

Values from the calculation:
* space group: Pm-3m
* crystal system: cubic

Structure (extended XYZ):
```
5
Lattice="3.980 0.000 0.000 0.000 3.980 0.000 0.000 0.000 3.980" Properties=species:S:1:pos:R:3 pbc="T T T"
Ca 0.000 0.000 0.000
Zr 1.990 1.990 1.990
H 0.000 0.000 1.990
H 0.000 1.990 0.000
H 1.990 0.000 0.000
```

Pick one: it beats the second-best structure by 558 meV/atom.

## one
DFT (GGA-PBE) results for a relaxed structure of Ca2ZrH.

Values from the calculation:
* space group: I-42d
* crystal system: tetragonal

Structure (extended XYZ):
```
8
Lattice="-3.435 3.435 4.230 3.435 -3.435 4.230 3.435 3.435 -4.230" Properties=species:S:1:pos:R:3 pbc="T T T"
Ca 0.708 1.717 1.058
Ca -1.717 2.726 3.173
Ca -0.708 5.152 1.058
Ca 1.717 4.143 3.173
Zr 3.435 0.000 2.115
Zr 0.000 0.000 4.230
H 0.000 0.000 0.000
H 0.000 3.435 2.115
```

## two
DFT (GGA-PBE) results for a relaxed structure of Ca2ZrH.

Values from the calculation:
* space group: Fm-3m
* crystal system: cubic

Structure (extended XYZ):
```
4
Lattice="0.000 3.843 3.843 3.843 0.000 3.843 3.843 3.843 0.000" Properties=species:S:1:pos:R:3 pbc="T T T"
Ca 1.922 1.922 1.922
Ca 5.765 5.765 5.765
Zr 0.000 0.000 0.000
H 3.843 3.843 3.843
```

Pick one: it beats the second-best structure by 654 meV/atom.

## one
DFT (GGA-PBE) results for a relaxed structure of Ca3HfHg.

Values from the calculation:
* space group: Pm-3m
* crystal system: cubic

Structure (extended XYZ):
```
5
Lattice="5.860 0.000 0.000 0.000 5.860 0.000 0.000 0.000 5.860" Properties=species:S:1:pos:R:3 pbc="T T T"
Ca 0.000 0.000 2.930
Ca 0.000 2.930 0.000
Ca 2.930 0.000 0.000
Hf 0.000 0.000 0.000
Hg 2.930 2.930 2.930
```

## two
DFT (GGA-PBE) results for a relaxed structure of Ca3HfHg.

Values from the calculation:
* space group: Pm-3m
* crystal system: cubic

Structure (extended XYZ):
```
5
Lattice="5.733 0.000 0.000 0.000 5.733 0.000 0.000 0.000 5.733" Properties=species:S:1:pos:R:3 pbc="T T T"
Ca 0.000 0.000 2.866
Ca 0.000 2.866 0.000
Ca 2.866 0.000 0.000
Hf 2.866 2.866 2.866
Hg 0.000 0.000 0.000
```

Pick two: it beats the second-best structure by 340 meV/atom.

## one
DFT (GGA-PBE) results for a relaxed structure of CaHfHg2.

Values from the calculation:
* space group: Fm-3m
* crystal system: cubic

Structure (extended XYZ):
```
4
Lattice="0.000 3.620 3.620 3.620 0.000 3.620 3.620 3.620 0.000" Properties=species:S:1:pos:R:3 pbc="T T T"
Ca 0.000 0.000 0.000
Hf 3.620 3.620 3.620
Hg 1.810 1.810 1.810
Hg 5.430 5.430 5.430
```

## two
DFT (GGA-PBE) results for a relaxed structure of CaHfHg2.

Values from the calculation:
* space group: P4/mmm
* crystal system: tetragonal

Structure (extended XYZ):
```
4
Lattice="3.564 0.000 0.000 0.000 3.564 0.000 0.000 0.000 7.494" Properties=species:S:1:pos:R:3 pbc="T T T"
Ca 0.000 0.000 0.000
Hf 0.000 0.000 3.747
Hg 1.782 1.782 2.063
Hg 1.782 1.782 5.431
```

Pick two: it beats the second-best structure by 85 meV/atom.

## one
DFT (GGA-PBE) results for a relaxed structure of Ca3HfI.

Values from the calculation:
* space group: Pm-3m
* crystal system: cubic

Structure (extended XYZ):
```
5
Lattice="5.803 0.000 0.000 0.000 5.803 0.000 0.000 0.000 5.803" Properties=species:S:1:pos:R:3 pbc="T T T"
Ca 0.000 0.000 2.901
Ca 0.000 2.901 0.000
Ca 2.901 0.000 0.000
Hf 2.901 2.901 2.901
I 0.000 0.000 0.000
```

## two
DFT (GGA-PBE) results for a relaxed structure of Ca3HfI.

Values from the calculation:
* space group: Pm-3m
* crystal system: cubic

Structure (extended XYZ):
```
5
Lattice="6.169 0.000 0.000 0.000 6.169 0.000 0.000 0.000 6.169" Properties=species:S:1:pos:R:3 pbc="T T T"
Ca 0.000 0.000 3.085
Ca 0.000 3.085 0.000
Ca 3.085 0.000 0.000
Hf 0.000 0.000 0.000
I 3.085 3.085 3.085
```

Pick one: it beats the second-best structure by 167 meV/atom.

## one
DFT (GGA-PBE) results for a relaxed structure of CaHf3In.

Values from the calculation:
* space group: Pm-3m
* crystal system: cubic

Structure (extended XYZ):
```
5
Lattice="5.354 0.000 0.000 0.000 5.354 0.000 0.000 0.000 5.354" Properties=species:S:1:pos:R:3 pbc="T T T"
Ca 0.000 0.000 0.000
Hf 0.000 2.677 2.677
Hf 2.677 0.000 2.677
Hf 2.677 2.677 0.000
In 2.677 2.677 2.677
```

## two
DFT (GGA-PBE) results for a relaxed structure of CaHf3In.

Values from the calculation:
* space group: Pm-3m
* crystal system: cubic

Structure (extended XYZ):
```
5
Lattice="5.058 0.000 0.000 0.000 5.058 0.000 0.000 0.000 5.058" Properties=species:S:1:pos:R:3 pbc="T T T"
Ca 0.000 0.000 0.000
Hf 0.000 0.000 2.529
Hf 0.000 2.529 0.000
Hf 2.529 0.000 0.000
In 2.529 2.529 2.529
```

Pick one: it beats the second-best structure by 634 meV/atom.

## one
DFT (GGA-PBE) results for a relaxed structure of CaHf2Ir.

Values from the calculation:
* space group: Fm-3m
* crystal system: cubic

Structure (extended XYZ):
```
4
Lattice="0.000 3.415 3.415 3.415 0.000 3.415 3.415 3.415 0.000" Properties=species:S:1:pos:R:3 pbc="T T T"
Ca 0.000 0.000 0.000
Hf 1.708 1.708 1.708
Hf 5.123 5.123 5.123
Ir 3.415 3.415 3.415
```

## two
DFT (GGA-PBE) results for a relaxed structure of CaHf2Ir.

Values from the calculation:
* space group: I-42d
* crystal system: tetragonal

Structure (extended XYZ):
```
8
Lattice="-4.036 4.036 3.002 4.036 -4.036 3.002 4.036 4.036 -3.002" Properties=species:S:1:pos:R:3 pbc="T T T"
Ca 0.000 0.000 0.000
Ca 0.000 4.036 1.501
Hf 2.018 2.588 -0.750
Hf 5.484 2.018 0.750
Hf 2.018 1.448 2.251
Hf -1.448 2.018 3.752
Ir 4.036 0.000 1.501
Ir 0.000 0.000 3.002
```

Pick two: it beats the second-best structure by 11 meV/atom.

## one
DFT (GGA-PBE) results for a relaxed structure of CaHfIr2.

Values from the calculation:
* space group: P4/mmm
* crystal system: tetragonal

Structure (extended XYZ):
```
4
Lattice="3.217 0.000 0.000 0.000 3.217 0.000 0.000 0.000 7.282" Properties=species:S:1:pos:R:3 pbc="T T T"
Ca 0.000 0.000 0.000
Hf 0.000 0.000 3.641
Ir 1.608 1.608 2.063
Ir 1.608 1.608 5.219
```

## two
DFT (GGA-PBE) results for a relaxed structure of CaHfIr2.

Values from the calculation:
* space group: I-42d
* crystal system: tetragonal

Structure (extended XYZ):
```
8
Lattice="-3.673 3.673 3.020 3.673 -3.673 3.020 3.673 3.673 -3.020" Properties=species:S:1:pos:R:3 pbc="T T T"
Ca 0.000 0.000 0.000
Ca 0.000 3.673 1.510
Hf 3.673 0.000 1.510
Hf 0.000 0.000 3.020
Ir 1.837 -1.632 2.265
Ir 2.042 1.837 0.755
Ir 1.837 5.305 -0.755
Ir 1.632 1.837 3.775
```

Pick one: it beats the second-best structure by 586 meV/atom.

## one
DFT (GGA-PBE) results for a relaxed structure of CaHfIrN2.

Values from the calculation:
* space group: P4/mmm
* crystal system: tetragonal

Structure (extended XYZ):
```
5
Lattice="4.006 0.000 0.000 0.000 4.006 0.000 0.000 0.000 6.870" Properties=species:S:1:pos:R:3 pbc="T T T"
Ca 0.000 0.000 0.000
Hf 0.000 0.000 3.435
Ir 2.003 2.003 3.435
N 0.000 2.003 0.000
N 2.003 0.000 0.000
```

## two
DFT (GGA-PBE) results for a relaxed structure of CaHfIrN2.

Values from the calculation:
* space group: P4/mmm
* crystal system: tetragonal

Structure (extended XYZ):
```
5
Lattice="4.255 0.000 0.000 0.000 4.255 0.000 0.000 0.000 5.157" Properties=species:S:1:pos:R:3 pbc="T T T"
Ca 0.000 0.000 0.000
Hf 2.128 2.128 2.578
Ir 2.128 2.128 0.000
N 0.000 2.128 2.578
N 2.128 0.000 2.578
```

Pick two: it beats the second-best structure by 1801 meV/atom.

## one
DFT (GGA-PBE) results for a relaxed structure of KCaHf2.

Values from the calculation:
* space group: Fm-3m
* crystal system: cubic

Structure (extended XYZ):
```
4
Lattice="0.000 3.902 3.902 3.902 0.000 3.902 3.902 3.902 0.000" Properties=species:S:1:pos:R:3 pbc="T T T"
K 0.000 0.000 0.000
Ca 3.902 3.902 3.902
Hf 1.951 1.951 1.951
Hf 5.853 5.853 5.853
```

## two
DFT (GGA-PBE) results for a relaxed structure of KCaHf2.

Values from the calculation:
* space group: I-42d
* crystal system: tetragonal

Structure (extended XYZ):
```
8
Lattice="-2.156 2.156 12.733 2.156 -2.156 12.733 2.156 2.156 -12.733" Properties=species:S:1:pos:R:3 pbc="T T T"
K 0.000 0.000 0.000
K 0.000 2.156 6.366
Ca 2.156 0.000 6.366
Ca 0.000 0.000 12.733
Hf 1.078 -1.051 9.550
Hf 1.105 1.078 3.183
Hf 1.078 3.207 -3.183
Hf 1.051 1.078 15.916
```

Pick two: it beats the second-best structure by 182 meV/atom.

## one
DFT (GGA-PBE) results for a relaxed structure of KCaHf3.

Values from the calculation:
* space group: Pm-3m
* crystal system: cubic

Structure (extended XYZ):
```
5
Lattice="5.167 0.000 0.000 0.000 5.167 0.000 0.000 0.000 5.167" Properties=species:S:1:pos:R:3 pbc="T T T"
K 0.000 0.000 0.000
Ca 2.583 2.583 2.583
Hf 0.000 0.000 2.583
Hf 0.000 2.583 0.000
Hf 2.583 0.000 0.000
```

## two
DFT (GGA-PBE) results for a relaxed structure of KCaHf3.

Values from the calculation:
* space group: Pm-3m
* crystal system: cubic

Structure (extended XYZ):
```
5
Lattice="5.406 0.000 0.000 0.000 5.406 0.000 0.000 0.000 5.406" Properties=species:S:1:pos:R:3 pbc="T T T"
K 0.000 0.000 0.000
Ca 2.703 2.703 2.703
Hf 0.000 2.703 2.703
Hf 2.703 0.000 2.703
Hf 2.703 2.703 0.000
```

Pick two: it beats the second-best structure by 43 meV/atom.

## one
DFT (GGA-PBE) results for a relaxed structure of Ca2LaHf.

Values from the calculation:
* space group: I-42d
* crystal system: tetragonal

Structure (extended XYZ):
```
8
Lattice="-2.328 2.328 12.470 2.328 -2.328 12.470 2.328 2.328 -12.470" Properties=species:S:1:pos:R:3 pbc="T T T"
Ca 3.492 1.120 -3.117
Ca 1.120 1.164 3.117
Ca -1.164 1.208 9.352
Ca 1.208 1.164 15.587
La 2.328 0.000 6.235
La 0.000 0.000 12.470
Hf 0.000 0.000 0.000
Hf 0.000 2.328 6.235
```

## two
DFT (GGA-PBE) results for a relaxed structure of Ca2LaHf.

Values from the calculation:
* space group: Fm-3m
* crystal system: cubic

Structure (extended XYZ):
```
4
Lattice="0.000 4.035 4.035 4.035 0.000 4.035 4.035 4.035 0.000" Properties=species:S:1:pos:R:3 pbc="T T T"
Ca 2.017 2.017 2.017
Ca 6.052 6.052 6.052
La 0.000 0.000 0.000
Hf 4.035 4.035 4.035
```

Pick two: it beats the second-best structure by 201 meV/atom.